Density functional theory data (SCAN) for a PBEsol-optimized structure of BeTeRh3.

- E_tot (eV/cell) = -137.031
- formation energy from raw total energies (kJ per mole of atoms) = 114
- D(E_F) (states/eV per atom) = 1.038

The structure in CIF format:
```
data_BeTeRh3
_chemical_formula_sum 'Be1 Te1 Rh3'
_cell_length_a 4.711
_cell_length_b 4.711
_cell_length_c 4.711
_cell_angle_alpha 90.00
_cell_angle_beta 90.00
_cell_angle_gamma 90.00
_space_group_name_H-M_alt 'P m -3 m'
_space_group_IT_number 221
_space_group_name_Hall '-P 4 2 3'
loop_
_atom_site_label
_atom_site_fract_x
_atom_site_fract_y
_atom_site_fract_z
Be1 0.000 0.000 0.000
Te1 0.500 0.500 0.500
Rh1 0.000 0.500 0.500
```